Tb2DyEr | PBE | relaxed

Cell: 3.5623 3.5623 34.2164 Å, 90.00 90.00 120.00°
Space group R3m (No. 160, hexagonal axes)
Unique sites:
1 Tb 0.0000 0.0000 0.0000 x3
2 Tb 0.0000 0.0000 0.1653 x3
3 Dy 0.0000 0.0000 0.5827 x3
4 Er 0.0000 0.0000 0.4164 x3

Output
The value obtained for the formation enthalpy at 0 K is 0.008 eV/atom. The value obtained for the final energy is -0.169 Ha/atom. Its polymorph energy (0 for the lowest one) is 0 meV per atom.